Record 1
# AlInW2 (PBE, relaxed)
# **Energy relative to the lowest polymorph listed for this composition**: 191 meV per atom
# **Calculated formation energy**: 387 meV/atom
data_AlInW2
_symmetry_space_group_name_H-M 'R 3 m'
_symmetry_Int_Tables_number 160
_symmetry_space_group_name_Hall 'R 3 -2"'
_cell_length_a 2.9046
_cell_length_b 2.9046
_cell_length_c 28.7859
_cell_angle_alpha 90.00
_cell_angle_beta 90.00
_cell_angle_gamma 120.00
loop_
_atom_site_label
_atom_site_type_symbol
_atom_site_fract_x
_atom_site_fract_y
_atom_site_fract_z
_atom_site_occupancy
Al1 Al 0.0000 0.0000 0.0000 1
In1 In 0.0000 0.0000 0.7546 1
W1 W 0.0000 0.0000 0.2571 1
W2 W 0.0000 0.0000 0.5088 1

Record 2
# AlInW2 (PBE, relaxed)
# **Energy relative to the lowest polymorph listed for this composition**: 183 meV per atom
# **Calculated formation energy**: 379 meV/atom
data_AlInW2
_symmetry_space_group_name_H-M 'P 1 2/m 1'
_symmetry_Int_Tables_number 10
_symmetry_space_group_name_Hall '-P 2y'
_cell_length_a 2.816
_cell_length_b 4.494
_cell_length_c 5.508
_cell_angle_alpha 90.00
_cell_angle_beta 100.64
_cell_angle_gamma 90.00
loop_
_atom_site_label
_atom_site_type_symbol
_atom_site_fract_x
_atom_site_fract_y
_atom_site_fract_z
_atom_site_occupancy
Al1 Al 0.000 0.000 0.000 1
In1 In 0.500 0.000 0.500 1
W1 W 0.272 0.500 0.772 1

Record 3
# Al2InW (PBE, relaxed)
# **Calculated formation energy**: 219 meV/atom
data_Al2InW
_symmetry_space_group_name_H-M 'P 4 m m'
_symmetry_Int_Tables_number 99
_symmetry_space_group_name_Hall 'P 4 -2'
_cell_length_a 3.524
_cell_length_b 3.524
_cell_length_c 5.614
_cell_angle_alpha 90.00
_cell_angle_beta 90.00
_cell_angle_gamma 90.00
loop_
_atom_site_label
_atom_site_type_symbol
_atom_site_fract_x
_atom_site_fract_y
_atom_site_fract_z
_atom_site_occupancy
Al1 Al 0.000 0.000 0.000 1
Al2 Al 0.500 0.500 0.255 1
In1 In 0.000 0.000 0.512 1
W1 W 0.500 0.500 0.786 1

Record 4
# Al2InW (PBE, relaxed)
# **Calculated formation energy**: 184 meV/atom
data_Al2InW
_symmetry_space_group_name_H-M 'R -3 m'
_symmetry_Int_Tables_number 166
_symmetry_space_group_name_Hall '-R 3 2"'
_cell_length_a 2.9732
_cell_length_b 2.9732
_cell_length_c 28.0684
_cell_angle_alpha 90.00
_cell_angle_beta 90.00
_cell_angle_gamma 120.00
loop_
_atom_site_label
_atom_site_type_symbol
_atom_site_fract_x
_atom_site_fract_y
_atom_site_fract_z
_atom_site_occupancy
Al1 Al 0.0000 0.0000 0.2427 1
In1 In 0.0000 0.0000 0.0000 1
W1 W 0.0000 0.0000 0.5000 1

Record 5
# AlInW (PBE, relaxed)
# **Energy relative to the lowest polymorph listed for this composition**: 64 meV per atom
# **Calculated formation energy**: 413 meV/atom
data_AlInW
_symmetry_space_group_name_H-M 'I 4 m m'
_symmetry_Int_Tables_number 107
_symmetry_space_group_name_Hall 'I 4 -2'
_cell_length_a 2.854
_cell_length_b 2.854
_cell_length_c 13.384
_cell_angle_alpha 90.00
_cell_angle_beta 90.00
_cell_angle_gamma 90.00
loop_
_atom_site_label
_atom_site_type_symbol
_atom_site_fract_x
_atom_site_fract_y
_atom_site_fract_z
_atom_site_occupancy
Al1 Al 0.000 0.000 0.000 1
In1 In 0.000 0.000 0.315 1
W1 W 0.000 0.000 0.643 1

Record 6
# AlInW2 (PBE, relaxed)
# **Energy relative to the lowest polymorph listed for this composition**: 271 meV per atom
# **Calculated formation energy**: 467 meV/atom
data_AlInW2
_symmetry_space_group_name_H-M 'I 4/m m m'
_symmetry_Int_Tables_number 139
_symmetry_space_group_name_Hall '-I 4 2'
_cell_length_a 3.936
_cell_length_b 3.936
_cell_length_c 8.800
_cell_angle_alpha 90.00
_cell_angle_beta 90.00
_cell_angle_gamma 90.00
loop_
_atom_site_label
_atom_site_type_symbol
_atom_site_fract_x
_atom_site_fract_y
_atom_site_fract_z
_atom_site_occupancy
Al1 Al 0.000 0.000 0.000 1
In1 In 0.000 0.000 0.500 1
W1 W 0.000 0.500 0.250 1

Record 7
# AlInW2 (PBE, relaxed)
# **Energy relative to the lowest polymorph listed for this composition**: 423 meV per atom
# **Calculated formation energy**: 619 meV/atom
data_AlInW2
_symmetry_space_group_name_H-M 'P 4/m m m'
_symmetry_Int_Tables_number 123
_symmetry_space_group_name_Hall '-P 4 2'
_cell_length_a 4.885
_cell_length_b 4.885
_cell_length_c 2.847
_cell_angle_alpha 90.00
_cell_angle_beta 90.00
_cell_angle_gamma 90.00
loop_
_atom_site_label
_atom_site_type_symbol
_atom_site_fract_x
_atom_site_fract_y
_atom_site_fract_z
_atom_site_occupancy
Al1 Al 0.000 0.000 0.000 1
In1 In 0.500 0.500 0.000 1
W1 W 0.000 0.500 0.500 1

Record 8
# Al2InW (PBE, relaxed)
# **Calculated formation energy**: 218 meV/atom
data_Al2InW
_symmetry_space_group_name_H-M 'I 4/m m m'
_symmetry_Int_Tables_number 139
_symmetry_space_group_name_Hall '-I 4 2'
_cell_length_a 4.030
_cell_length_b 4.030
_cell_length_c 8.392
_cell_angle_alpha 90.00
_cell_angle_beta 90.00
_cell_angle_gamma 90.00
loop_
_atom_site_label
_atom_site_type_symbol
_atom_site_fract_x
_atom_site_fract_y
_atom_site_fract_z
_atom_site_occupancy
Al1 Al 0.000 0.500 0.250 1
In1 In 0.000 0.000 0.000 1
W1 W 0.000 0.000 0.500 1